1.
A relaxed structure of Er6CoRu2, computed with PBE.

Cell: 6.3766 7.3145 11.1085 Å, 90.00 123.41 90.00°
Last column: nearest neighbours and their distance in Å.
Sites, in units of the cell vectors:
Er 0.0927 0.0426 0.2439  1 Co 2.61, 2 Ru 2.75-2.77
Er 0.0927 0.4574 0.7439  1 Co 2.61, 2 Ru 2.75-2.77
Er 0.2240 0.6706 0.0667  1 Co 2.58
Er 0.2240 0.8294 0.5667  1 Co 2.58
Er 0.4024 0.1787 0.0668  1 Co 2.64, 1 Ru 2.82
Er 0.4024 0.3213 0.5668  1 Co 2.64, 1 Ru 2.82
Er 0.5976 0.6787 0.4332  1 Co 2.64, 1 Ru 2.82
Er 0.5976 0.8213 0.9332  1 Co 2.64, 1 Ru 2.82
Er 0.7760 0.1706 0.4333  1 Co 2.58
Er 0.7760 0.3294 0.9333  1 Co 2.58
Er 0.9073 0.5426 0.2561  1 Co 2.61, 2 Ru 2.75-2.77
Er 0.9073 0.9574 0.7561  1 Co 2.61, 2 Ru 2.75-2.77
Co 0.5000 0.0000 0.5000  6 Er 2.58-2.64
Co 0.5000 0.5000 0.0000  6 Er 2.58-2.64
Ru 0.3071 0.1222 0.7661  7 Er 2.75-3.08
Ru 0.3071 0.3778 0.2661  7 Er 2.75-3.08
Ru 0.6929 0.6222 0.7339  7 Er 2.75-3.08
Ru 0.6929 0.8778 0.2339  7 Er 2.75-3.08

Results
Electronic total energy (eV per atom): -6.19


2.
A relaxed structure of BaNaCuO2, computed with PBE.

Cell: 6.0351 4.3521 6.8211 Å, 90.00 102.09 90.00°
Last column: nearest neighbours and their distance in Å.
Sites, in units of the cell vectors:
Ba 0.0000 0.2305 0.2500  6 O 2.75-2.90
Ba 0.0000 0.7695 0.7500  6 O 2.75-2.90
Na 0.5000 0.4780 0.7500  4 O 2.47-2.52, 2 Cu 2.69
Na 0.5000 0.5220 0.2500  4 O 2.47-2.52, 2 Cu 2.69
Cu 0.5000 0.0000 0.0000  2 O 1.84
Cu 0.5000 0.0000 0.5000  2 O 1.84
O 0.2515 0.2543 0.9575  1 Cu 1.84
O 0.2515 0.7457 0.4575  1 Cu 1.84
O 0.7485 0.2543 0.5425  1 Cu 1.84
O 0.7485 0.7457 0.0425  1 Cu 1.84

Results
Formation energy from raw total energies (eV/atom): -1.551


3.
A relaxed structure of TbTmPd6, computed with PBE.

Cell: 4.1143 4.1143 8.2242 Å, 90.00 90.00 90.00°
Last column: nearest neighbours and their distance in Å.
Sites, in units of the cell vectors:
Tb 0.0000 0.0000 0.0000  12 Pd 2.91-2.93
Tm 0.0000 0.0000 0.5000  12 Pd 2.89-2.91
Pd 0.0000 0.5000 0.2531  8 Pd 2.89-2.93, 2 Tm 2.89, 2 Tb 2.93
Pd 0.0000 0.5000 0.7469  8 Pd 2.89-2.93, 2 Tm 2.89, 2 Tb 2.93
Pd 0.5000 0.0000 0.2531  8 Pd 2.89-2.93, 2 Tm 2.89, 2 Tb 2.93
Pd 0.5000 0.0000 0.7469  8 Pd 2.89-2.93, 2 Tm 2.89, 2 Tb 2.93
Pd 0.5000 0.5000 0.0000  4 Tb 2.91, 8 Pd 2.93
Pd 0.5000 0.5000 0.5000  8 Pd 2.89, 4 Tm 2.91

Results
Electronic total energy (eV per atom): -5.92


4.
A relaxed structure of Zr3Cu4Si4, computed with PBE.

Cell: 12.1506 12.1506 12.1506 Å, 162.47 161.66 25.48°
Last column: nearest neighbours and their distance in Å.
Sites, in units of the cell vectors:
Zr 0.0000 0.0000 0.0000  4 Cu 2.92, 8 Si 2.92
Zr 0.3546 0.8546 0.5000  6 Si 2.87-2.94, 8 Cu 2.93-3.17
Zr 0.6454 0.1454 0.5000  6 Si 2.87-2.94, 8 Cu 2.93-3.17
Cu 0.0951 0.5951 0.5000  3 Si 2.22-2.24
Cu 0.2514 0.2514 0.0000  4 Si 2.36-2.39
Cu 0.7486 0.7486 0.0000  4 Si 2.36-2.39
Cu 0.9049 0.4049 0.5000  3 Si 2.22-2.24
Si 0.1894 0.6894 0.5000  5 Cu 2.24-2.39
Si 0.4508 0.4508 0.0000  2 Cu 2.22, 1 Si 2.33
Si 0.5492 0.5492 0.0000  2 Cu 2.22, 1 Si 2.33
Si 0.8106 0.3106 0.5000  5 Cu 2.24-2.39

Results
Formation energy from raw total energies (eV/atom): -0.580


5.
A relaxed structure of KSb2Rh, computed with PBE.

Cell: 3.3240 3.3240 9.4114 Å, 90.00 90.00 90.00°
Last column: nearest neighbours and their distance in Å.
Sites, in units of the cell vectors:
K 0.0000 0.0000 0.0000  4 K 3.32, 4 Rh 3.47, 4 Sb 3.71
Sb 0.0000 0.0000 0.4088  4 Rh 2.68
Sb 0.5000 0.5000 0.6944  8 Sb 3.32-3.57, 4 K 3.71
Rh 0.5000 0.5000 0.2714  4 Sb 2.68

Results
Formation energy from raw total energies (eV/atom): -0.022
Energy relative to the lowest polymorph listed for this composition (kcal/mol of atoms): 8.77


6.
A relaxed structure of La2YHgH, computed with PBE.

Cell: 4.9120 4.9120 5.1468 Å, 90.00 90.00 90.00°
Last column: nearest neighbours and their distance in Å.
Sites, in units of the cell vectors:
La 0.0000 0.5000 0.0000  2 H 2.46
La 0.5000 0.0000 0.0000  2 H 2.46
Y 0.0000 0.0000 0.5000  2 H 2.57
Hg 0.5000 0.5000 0.5000  4 Y 3.47, 8 La 3.56
H 0.0000 0.0000 0.0000  4 La 2.46, 2 Y 2.57

Results
Energy relative to the lowest polymorph listed for this composition (kcal/mol of atoms): 0.00